# 1
6
Lattice="3.2498 0.0000 0.0000 0.0000 3.2498 0.0000 0.0000 0.0000 9.8049" Properties=species:S:1:pos:R:3 comment="Hf3Tc2Ru PBE-GGA relaxed" spacegroup="P4/mmm (123)" vol_a3_per_cell=103.55 m_tot_mub_per_cell=0.0 delta_e_f_ev_per_atom=-0.599 pbc="T T T"
Hf 0.0000 0.0000 3.2657
Hf 0.0000 0.0000 6.5391
Hf 0.0000 0.0000 0.0000
Tc 1.6249 1.6249 8.1595
Tc 1.6249 1.6249 1.6454
Ru 1.6249 1.6249 4.9024


# 2
12
Lattice="4.5130 0.0019 -0.9434 -0.0029 6.5138 -0.0007 -0.8437 0.0004 7.2400" Properties=species:S:1:pos:R:3 comment="Hf6Tc5Ru PBE-GGA relaxed" spacegroup="Cmmm (65)" vol_a3_per_cell=207.65 m_tot_mub_per_cell=0.0 delta_e_f_ev_per_atom=-0.541 pbc="T T T"
Tc 0.9425 3.2578 4.5184
Tc 2.7280 0.0014 1.7870
Tc -0.0014 3.2569 -0.0003
Tc 2.7239 3.2583 1.7775
Tc 0.9384 6.5147 4.5089
Hf 3.1969 4.8900 4.0424
Hf 2.2558 1.6282 -0.4719
Hf 0.4695 1.6261 2.2536
Hf 0.4681 4.8886 2.2532
Hf 3.1983 1.6275 4.0427
Hf 1.4106 4.8879 6.7678
Ru 0.0000 0.0000 0.0000


# 3
4
Lattice="-1.1312 2.3209 3.6628 -3.4858 2.8138 -0.1181 -3.7650 -1.0027 2.2140" Properties=species:S:1:pos:R:3 comment="HfTcRu2 PBE-GGA relaxed" spacegroup="Fm-3m (225)" vol_a3_per_cell=63.64 e_above_lowest_polymorph_mev_per_atom=0 m_tot_mub_per_cell=2.3 delta_e_f_ev_per_atom=-0.064 pbc="T T T"
Hf -4.1910 2.0660 2.8793
Ru -6.2865 3.0990 4.3190
Ru -2.0955 1.0330 1.4397
Tc 0.0000 0.0000 0.0000


# 4
5
Lattice="4.6116 0.0000 0.0000 0.0000 4.6116 0.0000 0.0000 0.0000 4.6116" Properties=species:S:1:pos:R:3 comment="HfTc3Ru PBE-GGA relaxed" spacegroup="Pm-3m (221)" vol_a3_per_cell=98.08 e_above_lowest_polymorph_mev_per_atom=0 m_tot_mub_per_cell=0.0 delta_e_f_ev_per_atom=1.246 pbc="T T T"
Tc 0.0000 0.0000 2.3058
Tc 2.3058 0.0000 0.0000
Tc 0.0000 2.3058 0.0000
Ru 0.0000 0.0000 0.0000
Hf 2.3058 2.3058 2.3058


# 5
10
Lattice="-1.0031 -3.5302 5.4068 -0.4414 -5.4213 -3.6216 4.1092 -0.5876 0.3788" Properties=species:S:1:pos:R:3 comment="Hf2TcRu2 PBE-GGA relaxed" spacegroup="P4/mbm (127)" vol_a3_per_cell=177.99 m_tot_mub_per_cell=0.0 delta_e_f_ev_per_atom=-0.207 pbc="T T T"
Ru -0.7432 -5.9487 -1.1651
Ru -0.2984 -2.4492 -0.5624
Ru -1.1462 -6.5024 2.3476
Ru -0.7013 -3.0029 2.9502
Tc -0.7223 -4.4758 0.8926
Tc 0.0000 0.0000 0.0000
Hf 1.0116 -7.1435 0.8789
Hf 1.5766 -4.5986 -1.3035
Hf 1.0880 -4.9406 3.4674
Hf 1.6530 -2.3957 1.2850


# 6
8
Lattice="3.2535 0.0000 0.0000 0.0000 3.2535 0.0000 0.0000 0.0000 13.0629" Properties=species:S:1:pos:R:3 comment="Hf4Tc3Ru PBE-GGA relaxed" spacegroup="P4/mmm (123)" vol_a3_per_cell=138.27 m_tot_mub_per_cell=0.0 delta_e_f_ev_per_atom=-0.566 pbc="T T T"
Ru 1.6267 1.6267 0.0000
Hf 0.0000 0.0000 11.4289
Hf 0.0000 0.0000 4.8889
Hf 0.0000 0.0000 1.6340
Hf 0.0000 0.0000 8.1740
Tc 1.6267 1.6267 3.2545
Tc 1.6267 1.6267 9.8084
Tc 1.6267 1.6267 6.5314


# 7
8
Lattice="-3.2725 4.4433 -1.6477 -3.8543 -3.6606 -2.2163 -6.2561 0.2384 3.0035" Properties=species:S:1:pos:R:3 comment="HfTcRu2 PBE-GGA relaxed" spacegroup="I-42d (122)" vol_a3_per_cell=186.55 e_above_lowest_polymorph_mev_per_atom=1190 m_tot_mub_per_cell=0.0 delta_e_f_ev_per_atom=1.126 pbc="T T T"
Ru -4.4933 -1.5218 -0.8963
Ru -3.9799 2.2280 -0.5000
Ru -7.4957 0.3479 0.7283
Ru -10.7971 0.9882 -1.0530
Tc -3.5634 0.3914 -1.9320
Tc -6.8369 -1.5154 -0.5724
Hf 0.0000 0.0000 0.0000
Hf -6.5461 2.5366 -0.2881


# 8
10
Lattice="7.5351 0.0000 0.0000 0.0000 7.5351 0.0000 0.0000 0.0000 2.7915" Properties=species:S:1:pos:R:3 comment="HfTc2Ru2 PBE-GGA relaxed" spacegroup="P4/mbm (127)" vol_a3_per_cell=158.50 e_above_lowest_polymorph_mev_per_atom=0 m_tot_mub_per_cell=0.0 delta_e_f_ev_per_atom=-0.037 pbc="T T T"
Hf 0.0000 0.0000 0.0000
Hf 3.7675 3.7675 0.0000
Tc 6.2393 2.4717 1.3958
Tc 1.2958 5.0633 1.3958
Tc 5.0633 6.2393 1.3958
Tc 2.4717 1.2958 1.3958
Ru 6.6024 4.7002 0.0000
Ru 0.9327 2.8348 0.0000
Ru 4.7002 0.9327 0.0000
Ru 2.8348 6.6024 0.0000


# 9
4
Lattice="-1.1935 4.4483 1.4242 -1.2708 0.8049 4.5801 2.9389 2.4662 2.9191" Properties=species:S:1:pos:R:3 comment="HfThTcRu PBE-GGA relaxed" spacegroup="F-43m (216)" vol_a3_per_cell=79.22 m_tot_mub_per_cell=0.0 delta_e_f_ev_per_atom=-0.358 pbc="T T T"
Hf 0.0000 0.0000 0.0000
Tc 0.1187 1.9298 2.2308
Th 0.2373 3.8597 4.4617
Ru 0.3560 5.7895 6.6925


# 10
5
Lattice="4.5041 0.0000 0.0000 0.0000 4.4886 0.0000 0.0000 0.0000 4.5041" Properties=species:S:1:pos:R:3 comment="HfTiTc2Ru PBE-GGA relaxed" spacegroup="P4/mmm (123)" vol_a3_per_cell=91.06 m_tot_mub_per_cell=0.0 delta_e_f_ev_per_atom=0.706 pbc="T T T"
Tc 0.0000 0.0000 2.2520
Tc 2.2520 0.0000 0.0000
Ru 0.0000 2.2443 0.0000
Ti 0.0000 0.0000 0.0000
Hf 2.2520 2.2443 2.2520


# 11
4
Lattice="4.6747 0.0000 0.0000 2.3373 4.0484 0.0000 2.3373 1.3495 3.8169" Properties=species:S:1:pos:R:3 comment="TmHfTcRu PBE-GGA relaxed" spacegroup="F-43m (216)" vol_a3_per_cell=72.23 m_tot_mub_per_cell=0.0 delta_e_f_ev_per_atom=-0.370 pbc="T T T"
Tc 4.6747 2.6989 1.9084
Tm 7.0120 4.0484 2.8627
Hf 2.3373 1.3495 0.9542
Ru 0.0000 0.0000 0.0000


# 12
4
Lattice="-1.4243 1.7851 -3.8026 -3.9210 -1.2082 -1.6856 -3.3979 2.8511 0.0241" Properties=species:S:1:pos:R:3 comment="HfVTcRu PBE-GGA relaxed" spacegroup="F-43m (216)" vol_a3_per_cell=61.71 m_tot_mub_per_cell=0.0 delta_e_f_ev_per_atom=-0.455 pbc="T T T"
Hf -4.3716 1.7140 -2.7320
Tc -2.1858 0.8570 -1.3660
V 0.0000 0.0000 0.0000
Ru -6.5574 2.5710 -4.0980


# 13
5
Lattice="4.6111 0.0000 0.0000 0.0000 4.6926 0.0000 0.0000 0.0000 4.6111" Properties=species:S:1:pos:R:3 comment="HfTc2RuW PBE-GGA relaxed" spacegroup="P4/mmm (123)" vol_a3_per_cell=99.78 m_tot_mub_per_cell=0.0 delta_e_f_ev_per_atom=1.340 pbc="T T T"
Tc 2.3056 0.0000 0.0000
Tc 0.0000 0.0000 2.3056
Hf 2.3056 2.3463 2.3056
Ru 0.0000 0.0000 0.0000
W 0.0000 2.3463 0.0000


# 14
4
Lattice="-3.7584 -1.7920 2.2033 -0.4483 -4.6651 0.4769 0.4838 -1.9913 4.2417" Properties=species:S:1:pos:R:3 comment="YHfTcRu PBE-GGA relaxed" spacegroup="F-43m (216)" vol_a3_per_cell=73.92 m_tot_mub_per_cell=0.0 delta_e_f_ev_per_atom=-0.273 pbc="T T T"
Ru -0.9307 -2.1121 1.7305
Y -1.8615 -4.2242 3.4609
Tc -2.7922 -6.3364 5.1914
Hf 0.0000 0.0000 0.0000


# 15
8
Lattice="6.3410 0.0000 0.0000 0.0000 6.3410 0.0000 3.1705 3.1705 5.8978" Properties=species:S:1:pos:R:3 comment="Hf2TeRu PBE-GGA relaxed" spacegroup="I-42d (122)" vol_a3_per_cell=237.14 m_tot_mub_per_cell=0.0 e_form_raw_ev_per_atom=0.270 pbc="T T T"
Te 6.3410 3.1705 2.9489
Te 0.0000 0.0000 0.0000
Hf 4.7558 5.1336 4.4234
Hf 1.9631 4.7558 1.4745
Hf 7.9263 7.5485 4.4234
Hf 4.3780 1.5853 1.4745
Ru 3.1705 3.1705 0.0000
Ru 3.1705 6.3410 2.9489


# 16
10
Lattice="7.6333 0.0000 0.0000 0.0000 7.6333 0.0000 0.0000 0.0000 3.2413" Properties=species:S:1:pos:R:3 comment="Hf2TeRu2 PBE-GGA relaxed" spacegroup="P4/mbm (127)" vol_a3_per_cell=188.87 m_tot_mub_per_cell=0.0 e_form_raw_ev_per_atom=-0.367 pbc="T T T"
Hf 6.4528 2.6361 1.6207
Hf 4.9972 6.4528 1.6207
Hf 2.6361 1.1806 1.6207
Hf 1.1806 4.9972 1.6207
Te 0.0000 0.0000 0.0000
Te 3.8167 3.8167 0.0000
Ru 1.0383 2.7783 0.0000
Ru 6.5950 4.8550 0.0000
Ru 4.8550 1.0383 0.0000
Ru 2.7783 6.5950 0.0000


# 17
4
Lattice="3.1553 0.0000 0.0000 1.5776 2.7325 0.0000 1.5776 0.9108 9.8491" Properties=species:S:1:pos:R:3 comment="Hf2TeRu PBE-GGA relaxed" spacegroup="R-3m (166)" vol_a3_per_cell=84.92 m_tot_mub_per_cell=0.0 e_form_raw_ev_per_atom=0.294 pbc="T T T"
Hf 1.5776 0.9108 7.4272
Hf 4.7329 2.7325 2.4219
Ru 0.0000 0.0000 0.0000
Te 3.1553 1.8217 4.9245


# 18
5
Lattice="-4.1584 -2.4321 -1.7807 2.5687 -4.4469 0.0750 -1.5773 -0.8299 4.8168" Properties=species:S:1:pos:R:3 comment="HfTe3Ru PBE-GGA relaxed" spacegroup="Pm-3m (221)" vol_a3_per_cell=135.48 e_above_lowest_polymorph_mev_per_atom=0 m_tot_mub_per_cell=0.0 e_form_raw_ev_per_atom=0.589 pbc="T T T"
Te -0.7887 -0.4149 2.4084
Te 1.2844 -2.2234 0.0375
Te -2.0792 -1.2161 -0.8904
Ru 0.0000 0.0000 0.0000
Hf -1.5835 -3.8544 1.5555


# 19
5
Lattice="4.8138 0.0000 0.0000 0.0000 4.8138 0.0000 0.0000 0.0000 4.8138" Properties=species:S:1:pos:R:3 comment="HfTeRu3 PBE-GGA relaxed" spacegroup="Pm-3m (221)" vol_a3_per_cell=111.55 e_above_lowest_polymorph_mev_per_atom=334 m_tot_mub_per_cell=2.9 e_form_raw_ev_per_atom=1.415 pbc="T T T"
Ru 0.0000 0.0000 2.4069
Ru 0.0000 2.4069 0.0000
Ru 2.4069 0.0000 0.0000
Te 2.4069 2.4069 2.4069
Hf 0.0000 0.0000 0.0000


# 20
5
Lattice="4.7136 0.0000 0.0000 0.0000 4.7136 0.0000 0.0000 0.0000 4.7136" Properties=species:S:1:pos:R:3 comment="HfTeRu3 PBE-GGA relaxed" spacegroup="Pm-3m (221)" vol_a3_per_cell=104.72 e_above_lowest_polymorph_mev_per_atom=0 m_tot_mub_per_cell=0.0 e_form_raw_ev_per_atom=1.081 pbc="T T T"
Hf 2.3568 2.3568 2.3568
Ru 2.3568 0.0000 0.0000
Ru 0.0000 0.0000 2.3568
Ru 0.0000 2.3568 0.0000
Te 0.0000 0.0000 0.0000